# 1
Here is crystalline Ce2NpF11 at its relaxed geometry from Alexandria. Energies are from PBE. Values from VASP.

Its uncorrected energy is -195.60 eV per cell. Its total magnetization is 4.0 μB per formula unit.

Geometry as Quantum ESPRESSO input:
```
&SYSTEM
  ibrav = 0, nat = 28, ntyp = 3
/
ATOMIC_SPECIES
Ce 140.12 Ce.upf
Np 237.00 Np.upf
F 19.00 F.upf
CELL_PARAMETERS angstrom
-0.2586 -1.6797 8.2435
-7.3054 -3.5175 3.3511
2.2367 -8.0320 2.7305
ATOMIC_POSITIONS crystal
Ce 0.6443 0.6817 0.3183
Ce 0.3557 0.3183 0.6817
Ce 0.8557 0.1817 0.8183
Ce 0.1443 0.8183 0.1817
Np 0.7500 0.7500 0.7500
Np 0.2500 0.2500 0.2500
F 0.6499 0.7079 0.5688
F 0.3501 0.2921 0.4312
F 0.0734 0.5688 0.7079
F 0.8501 0.9312 0.7921
F 0.9266 0.4312 0.2921
F 0.1499 0.0688 0.2079
F 0.4266 0.7921 0.9312
F 0.5734 0.2079 0.0688
F 0.5000 0.5000 0.5000
F 0.0000 0.0000 0.0000
F 0.8734 0.7823 0.2177
F 0.1266 0.2177 0.7823
F 0.6266 0.2823 0.7177
F 0.3734 0.7177 0.2823
F 0.4487 0.9742 0.3164
F 0.5513 0.0258 0.6836
F 0.2607 0.3164 0.9742
F 0.0513 0.1836 0.5258
F 0.7393 0.6836 0.0258
F 0.9487 0.8164 0.4742
F 0.2393 0.5258 0.1836
F 0.7607 0.4742 0.8164
```

# 2
Here is crystalline CeNp2F11 at its relaxed geometry from Alexandria. Energies are from PBE. Values from VASP.

Its uncorrected energy is -206.53 eV per cell. Its total magnetization is 7.0 μB per formula unit.

Geometry as Quantum ESPRESSO input:
```
&SYSTEM
  ibrav = 0, nat = 28, ntyp = 3
/
ATOMIC_SPECIES
Ce 140.12 Ce.upf
Np 237.00 Np.upf
F 19.00 F.upf
CELL_PARAMETERS angstrom
7.4917 0.0000 3.9049
3.4466 7.6898 2.5266
0.1791 -0.0816 8.7953
ATOMIC_POSITIONS crystal
Ce 0.7500 0.7500 0.7500
Ce 0.2500 0.2500 0.2500
Np 0.6487 0.6810 0.3190
Np 0.3513 0.3190 0.6810
Np 0.8513 0.1810 0.8190
Np 0.1487 0.8190 0.1810
F 0.6436 0.7067 0.5658
F 0.3564 0.2933 0.4342
F 0.0839 0.5658 0.7067
F 0.8564 0.9342 0.7933
F 0.9161 0.4342 0.2933
F 0.1436 0.0658 0.2067
F 0.4161 0.7933 0.9342
F 0.5839 0.2067 0.0658
F 0.5000 0.5000 0.5000
F 0.0000 0.0000 0.0000
F 0.8712 0.7843 0.2157
F 0.1288 0.2157 0.7843
F 0.6288 0.2843 0.7157
F 0.3712 0.7157 0.2843
F 0.4494 0.9634 0.3180
F 0.5506 0.0366 0.6820
F 0.2692 0.3180 0.9634
F 0.0506 0.1820 0.5366
F 0.7308 0.6820 0.0366
F 0.9494 0.8180 0.4634
F 0.2308 0.5366 0.1820
F 0.7692 0.4634 0.8180
```